Compound: Ca2ZnAg
Source: Alexandria
Functional: SCAN
Structure: single point on PBEsol structure

The structure in POSCAR format:
```
Ca2ZnAg
1.0
5.564 -1.743 0.000
5.564 1.743 0.000
-1.732 0.000 4.924
Ca Zn Ag
2 1 1
direct
0.000 0.000 0.000 Ca
0.202 0.202 0.644 Ca
0.446 0.446 0.458 Zn
0.761 0.761 0.198 Ag
```

Computed properties:
The symmetry is No. 8. The magnetization is 0.00 μB per atom. Its formation energy is -0.9 eV/f.u. The total energy is -16.27 eV per atom. The calculation puts the density of states at the Fermi level at 0.563 states/eV/atom.

***

Compound: Na3MoCl
Source: Alexandria
Functional: SCAN
Structure: single point on PBEsol structure

The structure in POSCAR format:
```
Na3MoCl
1.0
5.314 0.000 0.000
0.000 5.314 0.000
0.000 0.000 5.314
Na Mo Cl
3 1 1
direct
0.000 0.000 0.500 Na
0.000 0.500 0.000 Na
0.500 0.000 0.000 Na
0.500 0.500 0.500 Mo
0.000 0.000 0.000 Cl
```

Computed properties:
The symmetry is No. 221. The magnetization is 1.17 μB per atom. The raw formation energy comes out at 3.44 kcal/mol of atoms. The total energy is -10.95 eV per atom. The calculation puts the density of states at the Fermi level at 0.261 states/eV/atom.

***

Compound: BaIrCl2
Source: Alexandria
Functional: SCAN
Structure: single point on PBEsol structure

The structure in POSCAR format:
```
BaIrCl2
1.0
5.065 -2.274 0.000
5.065 2.274 0.000
-0.200 0.000 4.785
Ba Ir Cl
1 1 2
direct
0.000 0.000 0.000 Ba
0.500 0.500 0.500 Ir
0.310 0.310 0.245 Cl
0.690 0.690 0.755 Cl
```

Computed properties:
The symmetry is No. 12. The magnetization is 0.25 μB per atom. The raw formation energy comes out at -22.04 kcal/mol of atoms. As for the energy relative to the lowest polymorph listed for this composition: 0 kJ/mol of formula units. The total energy is -32.61 eV per atom. The calculation puts the density of states at the Fermi level at 0.306 states/eV/atom.

***

Compound: BaSi2Rh
Source: Alexandria
Functional: SCAN
Structure: single point on PBEsol structure

The structure in POSCAR format:
```
BaSi2Rh
1.0
2.040 1.178 5.897
-2.040 1.178 5.897
0.000 -2.356 5.897
Ba Si Rh
1 2 1
direct
0.000 0.000 0.000 Ba
0.202 0.202 0.202 Si
0.798 0.798 0.798 Si
0.500 0.500 0.500 Rh
```

Computed properties:
The symmetry is No. 166. The magnetization is 0.00 μB per atom. The raw formation energy comes out at -15.52 kcal/mol of atoms. The total energy is -24.01 eV per atom. The calculation puts the density of states at the Fermi level at 0.656 states/eV/atom.

***

Compound: LiCoAg2
Source: Alexandria
Functional: SCAN
Structure: single point on PBEsol structure

The structure in POSCAR format:
```
LiCoAg2
1.0
1.478 -2.206 0.000
1.478 2.206 0.000
0.000 0.000 8.949
Li Co Ag
1 1 2
direct
0.000 0.000 0.000 Li
0.500 0.500 0.229 Co
0.000 0.000 0.472 Ag
0.500 0.500 0.746 Ag
```

Computed properties:
The symmetry is No. 35. The magnetization is 0.47 μB per atom. Its formation energy is 0.7 eV/f.u. The total energy is -20.44 eV per atom. The calculation puts the density of states at the Fermi level at 0.470 states/eV/atom.

***

Compound: CdP2Os
Source: Alexandria
Functional: SCAN
Structure: single point on PBEsol structure

The structure in POSCAR format:
```
CdP2Os
1.0
1.403 -2.449 0.000
1.403 2.449 0.000
0.000 0.000 9.872
Cd P Os
1 2 1
direct
0.000 0.000 0.000 Cd
0.500 0.500 0.302 P
0.500 0.500 0.698 P
0.000 0.000 0.500 Os
```

Computed properties:
The symmetry is No. 65. The magnetization is 0.00 μB per atom. As for the energy relative to the lowest polymorph listed for this composition: 0 kJ/mol of formula units. Its formation energy is 1.6 eV/f.u. The total energy is -30.37 eV per atom. The calculation puts the density of states at the Fermi level at 0.537 states/eV/atom.

***

Compound: GaSi3Pt
Source: Alexandria
Functional: SCAN
Structure: single point on PBEsol structure

The structure in POSCAR format:
```
GaSi3Pt
1.0
4.538 0.000 0.000
0.000 4.538 0.000
0.000 0.000 4.538
Ga Si Pt
1 3 1
direct
0.000 0.000 0.000 Ga
0.000 0.000 0.500 Si
0.000 0.500 0.000 Si
0.500 0.000 0.000 Si
0.500 0.500 0.500 Pt
```

Computed properties:
The symmetry is No. 221. The magnetization is 0.00 μB per atom. The raw formation energy comes out at 29.06 kcal/mol of atoms. The total energy is -22.06 eV per atom. The calculation puts the density of states at the Fermi level at 0.593 states/eV/atom.

***

Compound: TiF3
Source: Alexandria
Functional: SCAN
Structure: single point on PBEsol structure

The structure in POSCAR format:
```
TiF3
1.0
3.903 0.000 0.000
0.000 3.903 0.000
0.000 0.000 3.903
Ti F
1 3
direct
0.000 0.000 0.000 Ti
0.000 0.000 0.500 F
0.000 0.500 0.000 F
0.500 0.000 0.000 F
```

Computed properties:
The symmetry is No. 221. The magnetization is 0.25 μB per atom. The raw formation energy comes out at -82.10 kcal/mol of atoms. The total energy is -10.22 eV per atom. The calculation puts the density of states at the Fermi level at 0.489 states/eV/atom.